VASP calculation (GGA-PBE) on a geometry-optimized Ba4Ta2TiZnO12 structure.

Lattice parameters (Å, degrees): 8.195 8.195 10.114 113.90 113.90 90.00
Fractional positions:
Ta: 0.749 0.749 0.497
O: 0.135 0.135 0.269
O: 0.870 0.370 0.740
O: 0.115 0.615 0.231
Ba: 0.625 0.631 0.750
Ti: 0.750 0.250 0.500
Ta: 0.501 0.001 0.003
O: 0.630 0.130 0.260
Ta: 0.251 0.251 0.503
O: 0.255 0.014 0.510
O: 0.505 0.253 0.507
O: 0.995 0.254 0.990
Ba: 0.881 0.375 0.250
O: 0.503 0.752 0.007
Ba: 0.369 0.375 0.250
O: 0.745 0.497 0.993
O: 0.746 0.005 0.010
Ba: 0.125 0.119 0.750
O: 0.620 0.620 0.240
O: 0.248 0.497 0.993
O: 0.504 0.745 0.490
O: 0.995 0.736 0.990
O: 0.002 0.253 0.507
Ti: 0.500 0.500 0.000
O: 0.747 0.495 0.493
O: 0.865 0.865 0.731
O: 0.255 0.496 0.510
O: 0.264 0.005 0.010
O: 0.380 0.380 0.760
Zn: 0.250 0.750 0.500
Zn: 0.000 0.000 0.000
O: 0.503 0.255 0.007
Ta: 0.999 0.499 0.997
O: 0.385 0.885 0.769
Ba: 0.369 0.875 0.250
Ba: 0.881 0.875 0.250
Ba: 0.625 0.119 0.750
O: 0.986 0.745 0.490
Ba: 0.125 0.631 0.750
O: 0.747 0.998 0.493

VASP calculation (GGA-PBE) on a geometry-optimized Ba4Ta2TiZnO12 structure.

Lattice parameters (Å, degrees): 5.808 5.808 8.241 90.00 90.00 90.00
Fractional positions:
Ta: 0.000 0.000 0.000
O: 0.748 0.252 0.000
O: 0.500 0.500 0.244
Ti: 0.500 0.500 0.000
O: 0.252 0.748 0.000
Ba: 0.000 0.500 0.258
O: 0.500 0.500 0.756
O: 0.260 0.260 0.500
O: 0.740 0.260 0.500
O: 0.748 0.748 0.000
Ta: 0.500 0.500 0.500
O: 0.000 0.000 0.763
O: 0.252 0.252 0.000
Ba: 0.500 0.000 0.742
Ba: 0.000 0.500 0.742
Ba: 0.500 0.000 0.258
O: 0.000 0.000 0.237
O: 0.740 0.740 0.500
O: 0.260 0.740 0.500
Zn: 0.000 0.000 0.500

VASP calculation (GGA-PBE) on a geometry-optimized Ba2TaTl3O6 structure.

Lattice parameters (Å, degrees): 6.578 6.578 6.537 98.48 98.48 120.29
Fractional positions:
O: 0.684 0.936 0.828
O: 0.316 0.064 0.172
O: 0.811 0.811 0.209
O: 0.936 0.684 0.828
Tl: 0.847 0.153 0.500
O: 0.064 0.316 0.172
Ta: 0.000 0.000 0.000
Tl: 0.153 0.847 0.500
Ba: 0.330 0.670 0.000
Tl: 0.500 0.500 0.500
Ba: 0.670 0.330 0.000
O: 0.189 0.189 0.791

VASP calculation (GGA-PBE) on a geometry-optimized Ba4Ta3TlO12 structure.

Lattice parameters (Å, degrees): 7.454 7.454 7.454 109.47 109.47 109.47
Fractional positions:
Ta: 0.000 0.500 0.500
O: 0.282 0.000 0.282
O: 0.500 0.250 0.750
O: 0.282 0.282 0.000
O: 0.750 0.500 0.250
O: 0.250 0.500 0.750
O: 0.250 0.750 0.500
Ta: 0.500 0.000 0.500
O: 0.750 0.250 0.500
O: 0.718 0.718 0.000
O: 0.000 0.282 0.282
Ba: 0.000 0.000 0.500
Ba: 0.500 0.000 0.000
O: 0.000 0.718 0.718
O: 0.500 0.750 0.250
O: 0.718 0.000 0.718
Ba: 0.500 0.500 0.500
Tl: 0.000 0.000 0.000
Ba: 0.000 0.500 0.000
Ta: 0.500 0.500 0.000

VASP calculation (GGA-PBE) on a geometry-optimized Ba2TmTa3O12 structure.

Lattice parameters (Å, degrees): 7.237 7.237 7.237 63.33 63.33 63.33
Site moments in Bohr magnetons follow the coordinates.
Fractional positions:
Ta: 0.000 0.000 0.500  -0.04
O: 0.705 0.705 0.081  0.08
Ba: 0.367 0.367 0.367  0.00
O: 0.295 0.919 0.295  0.08
O: 0.081 0.705 0.705  0.08
O: 0.705 0.081 0.705  0.08
O: 0.629 0.109 0.109  0.23
O: 0.371 0.891 0.891  0.23
O: 0.109 0.109 0.629  0.23
O: 0.919 0.295 0.295  0.08
Ta: 0.000 0.500 0.000  -0.04
Ba: 0.633 0.633 0.633  0.00
O: 0.891 0.371 0.891  0.23
O: 0.109 0.629 0.109  0.23
Ta: 0.500 0.000 0.000  -0.04
O: 0.891 0.891 0.371  0.23
O: 0.295 0.295 0.919  0.08
Tm: 0.000 0.000 0.000  -0.03

VASP calculation (GGA-PBE) on a geometry-optimized Ba3TmTa2O9 structure.

Lattice parameters (Å, degrees): 5.942 5.942 7.279 90.00 90.00 120.00
Fractional positions:
O: 0.500 0.000 0.000
O: 0.174 0.826 0.321
O: 0.500 0.500 0.000
O: 0.174 0.348 0.321
Ba: 0.333 0.667 0.667
Ba: 0.000 0.000 0.000
O: 0.826 0.174 0.679
Ba: 0.667 0.333 0.333
Ta: 0.667 0.333 0.836
O: 0.000 0.500 0.000
Ta: 0.333 0.667 0.164
O: 0.826 0.652 0.679
Tm: 0.000 0.000 0.500
O: 0.652 0.826 0.321
O: 0.348 0.174 0.679

VASP calculation (GGA-PBE) on a geometry-optimized BaUTaO6 structure.

Lattice parameters (Å, degrees): 5.659 5.659 11.328 90.00 90.00 120.00
Site moments in Bohr magnetons follow the coordinates.
Fractional positions:
O: 0.981 0.372 0.152  -0.02
O: 0.372 0.391 0.848  -0.02
Ba: 0.000 0.000 0.500  0.00
Ta: 0.333 0.667 0.750  0.00
O: 0.391 0.019 0.152  -0.02
O: 0.628 0.019 0.348  -0.02
O: 0.019 0.628 0.848  -0.02
O: 0.628 0.609 0.152  -0.02
Ta: 0.667 0.333 0.250  0.00
O: 0.981 0.609 0.348  -0.02
O: 0.609 0.981 0.848  -0.02
U: 0.667 0.333 0.750  1.06
O: 0.609 0.628 0.652  -0.02
U: 0.333 0.667 0.250  1.06
O: 0.372 0.981 0.652  -0.02
O: 0.019 0.391 0.652  -0.02
O: 0.391 0.372 0.348  -0.02
Ba: 0.000 0.000 0.000  0.00

Calculated density, record by record: 7.257 7.267 8.291 7.754 6.798 8.107 6.896 g/cm3
E_form (uncorrected), record by record: -2857 -2847 -1951 -2620 -2731 -3070 -3115 meV per atom